# ReIr2Pb

A crystal of ReIr2Pb relaxed with PBEsol (SCAN, Alexandria).

Cell: 5.677 7.875 2.864 Å, 90.00 90.00 90.00°
Fractional positions:
Re 0.000 0.000 0.000
Re 0.500 0.500 0.000
Ir 0.250 0.250 0.500
Ir 0.250 0.750 0.500
Ir 0.750 0.250 0.500
Ir 0.750 0.750 0.500
Pb 0.000 0.500 0.000
Pb 0.500 0.000 0.000

Calculated values
The value obtained for the density of states at the Fermi level is 5.85 states/eV/cell. The value obtained for the magnetization is 1.35 μB per cell. The calculation puts the formation energy from the elements at 0.6353 eV/atom.


# Ir2RhPb

A crystal of Ir2RhPb relaxed with PBEsol (SCAN, Alexandria).

Cell: 2.913 2.913 7.733 Å, 90.00 90.00 90.00°
Fractional positions:
Ir 0.000 0.000 0.216
Ir 0.000 0.000 0.784
Rh 0.500 0.500 0.000
Pb 0.500 0.500 0.500

Calculated values
The value obtained for the density of states at the Fermi level is 2.08 states/eV/cell. The value obtained for the magnetization is 0.00 μB per cell. The calculation puts the formation energy from the elements at 0.5397 eV/atom.


# IrRhPb

A crystal of IrRhPb relaxed with PBEsol (SCAN, Alexandria).

Cell: 6.165 6.165 6.165 Å, 90.00 90.00 90.00°
Fractional positions:
Ir 0.000 0.000 0.000
Ir 0.000 0.500 0.500
Ir 0.500 0.000 0.500
Ir 0.500 0.500 0.000
Rh 0.250 0.250 0.750
Rh 0.250 0.750 0.250
Rh 0.750 0.250 0.250
Rh 0.750 0.750 0.750
Pb 0.250 0.250 0.250
Pb 0.250 0.750 0.750
Pb 0.750 0.250 0.750
Pb 0.750 0.750 0.250

Calculated values
The value obtained for the density of states at the Fermi level is 13.09 states/eV/cell. The value obtained for the magnetization is 3.47 μB per cell. For the energy above the lowest structure with this stoichiometry, the calculation gives 0 meV per atom. The calculation puts the formation energy from the elements at 0.3964 eV/atom.